Here is a geometry-optimized TaOs2Pb structure from Alexandria via LeMat-Bulk. Energies are from PBE.

Lattice parameters (Å, degrees): 6.0024 6.0024 6.0024 102.69 102.69 124.11
With the nearest neighbours (Å) after each atom.
Element x y z (fractional)
Ta1 0.0000 0.0000 0.0000  4 Os 2.54, 2 Pb 2.81
Ta2 0.7500 0.2500 0.5000  4 Os 2.54, 2 Pb 2.81
Os1 0.0827 0.6250 0.9577  2 Ta 2.54
Os2 0.3750 0.3327 0.4577  2 Ta 2.54
Os3 0.6673 0.1250 0.0423  2 Ta 2.54
Os4 0.8750 0.9173 0.5423  2 Ta 2.54
Pb1 0.2500 0.7500 0.5000  2 Ta 2.81, 4 Os 2.97
Pb2 0.5000 0.5000 0.0000  2 Ta 2.81, 4 Os 2.97

Calculated density   16.1 g cm⁻³
Raw total energy   -8.538 eV/atom
Fermi-level density of states   8.95 states/eV per cell
Symmetry   I-42d (122)
Size of the total moment   0.000 μB per atom
Formation energy   0.9672 eV/atom